Here is a relaxed Be2CuMo crystal from the Alexandria database. Energies are from PBE.

abc: 4.029 4.029 4.029
angles: 60.00 60.00 60.00
Site moments in Bohr magnetons follow the coordinates.
Element x y z (fractional)
Be: 0.250 0.250 0.250  -0.02
Be: 0.000 0.000 0.000  0.00
Cu: 0.500 0.500 0.500  0.08
Mo: 0.750 0.750 0.750  0.94

Properties
Calculated volume (Å³ per atom): 11.6
Space group: F-43m
M_tot (μB per atom): 0.265
Energy of formation (eV/atom): 0.32
DOS(E_F) (states/eV per atom): 0.837
Mass density (g cm⁻³): 6.37